## Cs3Nd2YO6 (PBE)

Data for a geometry-optimized Cs3Nd2YO6 structure.

## Properties
SG: C2/m
Electronic total energy: -6.56 eV/atom
Magnetic moment: 0.00 μB per cell
ΔE_f (raw): -30.43 eV per formula unit
Crystal system: monoclinic

Structure (POSCAR):
```
Cs3Nd2YO6
1.0
3.170 -5.490 0.000
3.170 5.490 0.000
-2.110 0.000 6.934
Cs Nd Y O
3 2 1 6
direct
0.000 0.000 0.000 Cs
0.334 0.666 0.000 Cs
0.666 0.334 0.000 Cs
0.167 0.833 0.500 Nd
0.833 0.167 0.500 Nd
0.500 0.500 0.500 Y
0.120 0.444 0.332 O
0.232 0.232 0.668 O
0.444 0.120 0.332 O
0.556 0.880 0.668 O
0.768 0.768 0.332 O
0.880 0.556 0.668 O
```

## CsNdP2Pt4 (PBE)

Data for a geometry-optimized CsNdP2Pt4 structure.

## Properties
SG: P4/mmm
Electronic total energy: -5.79 eV/atom
Magnetic moment: 0.00 μB per cell
Crystal system: tetragonal

Structure (POSCAR):
```
CsNdP2Pt4
1.0
4.063 0.000 0.000
0.000 4.063 0.000
0.000 0.000 11.583
Cs Nd P Pt
1 1 2 4
direct
0.000 0.000 0.000 Cs
0.000 0.000 0.500 Nd
0.500 0.500 0.203 P
0.500 0.500 0.797 P
0.000 0.500 0.304 Pt
0.000 0.500 0.696 Pt
0.500 0.000 0.304 Pt
0.500 0.000 0.696 Pt
```

## Cs2NdPaS4 (PBE)

Data for a geometry-optimized Cs2NdPaS4 structure.

## Properties
SG: P2/m
Electronic total energy: -5.67 eV/atom
Magnetic moment: 1.79 μB per cell
ΔE_f (raw): -12.87 eV per formula unit
Crystal system: monoclinic

Structure (POSCAR):
```
Cs2NdPaS4
1.0
7.223 0.000 0.000
0.000 4.150 0.000
-2.380 0.000 8.134
Cs Nd Pa S
2 1 1 4
direct
0.000 0.000 0.000 Cs
0.500 0.500 0.000 Cs
0.000 0.500 0.500 Nd
0.500 0.000 0.500 Pa
0.241 0.000 0.687 S
0.282 0.500 0.315 S
0.718 0.500 0.685 S
0.759 0.000 0.313 S
```

- Among the records above, which one has the lowest electronic total energy?
  Cs3Nd2YO6

- Number 2 is which compound?
  CsNdP2Pt4